No. 1
DFT (PBE-GGA) results for an optimized crystal structure of LaPdN2.

abc: 4.2586 4.2586 4.2586
angles: 60.00 60.00 60.00
Element x y z (fractional)
Pd  0.0000  0.0000  0.0000
N  0.2500  0.2500  0.2500
N  0.7500  0.7500  0.7500
La  0.5000  0.5000  0.5000

Computed properties:
Crystal system: cubic
Polymorph energy (0 for the lowest one), meV/atom: 279

***

No. 2
DFT (PBE-GGA) results for an optimized crystal structure of Pm7SnCl12.

abc: 9.2228 9.2228 9.2228
angles: 108.76 108.76 108.76
Element x y z (fractional)
Pm  0.0458  0.3528  0.1312
Pm  0.9542  0.6472  0.8688
Pm  0.8688  0.9542  0.6472
Pm  0.6472  0.8688  0.9542
Pm  0.5000  0.5000  0.5000
Pm  0.3528  0.1312  0.0458
Pm  0.1312  0.0458  0.3528
Cl  0.9194  0.3037  0.7818
Cl  0.3909  0.4774  0.1673
Cl  0.8327  0.6091  0.5226
Cl  0.0806  0.6963  0.2182
Cl  0.4774  0.1673  0.3909
Cl  0.1673  0.3909  0.4774
Cl  0.5226  0.8327  0.6091
Cl  0.6091  0.5226  0.8327
Cl  0.6963  0.2182  0.0806
Cl  0.7818  0.9194  0.3037
Cl  0.3037  0.7818  0.9194
Cl  0.2182  0.0806  0.6963
Sn  0.0000  0.0000  0.0000

Computed properties:
Crystal system: trigonal

***

Mass density (g/cm³)
8.31 4.18
E (eV per atom)
-6.4920 -4.8319
Energy relative to the elements, uncorrected (eV/atom)
0.201 -1.861